(1)
Density functional theory data (PBE) for crystalline ZrGa2Au at its relaxed geometry.

Properties
Energy   -4.7962 eV/atom

Cell lengths 3.2065, 3.2065, 7.0334 Å; angles 90.00, 90.00, 90.00 degrees
Atoms (fractional coordinates):
Zr (0.0000, 0.0000, 0.0000)
Ga (0.5000, 0.5000, 0.2669)
Ga (0.5000, 0.5000, 0.7331)
Au (0.0000, 0.0000, 0.5000)

***

(2)
Density functional theory data (PBE) for crystalline ErInRu2 at its relaxed geometry.

Properties
Energy   -6.6805 eV/atom

Cell lengths 4.5868, 4.5868, 3.3997 Å; angles 90.00, 90.00, 90.00 degrees
Atoms (fractional coordinates):
Er (0.0000, 0.0000, 0.0000)
In (0.5000, 0.5000, 0.0000)
Ru (0.0000, 0.5000, 0.5000)
Ru (0.5000, 0.0000, 0.5000)

***

(3)
Density functional theory data (PBE) for crystalline LiRe3Sb at its relaxed geometry.

Properties
Formation energy without anion corrections   2.50 eV/atom
Relative energy among the computed polymorphs   989 meV per atom

Cell lengths 4.8774, 4.8774, 4.8774 Å; angles 90.00, 90.00, 90.00 degrees
Atoms (fractional coordinates):
Li (0.0000, 0.0000, 0.0000)
Re (0.0000, 0.5000, 0.5000)
Re (0.5000, 0.0000, 0.5000)
Re (0.5000, 0.5000, 0.0000)
Sb (0.5000, 0.5000, 0.5000)

***

(4)
Density functional theory data (PBE) for crystalline MgMnIr at its relaxed geometry.

Properties
Energy   -6.4658 eV/atom

Cell lengths 6.9830, 6.7588, 2.7827 Å; angles 82.88, 73.83, 23.29 degrees
Atoms (fractional coordinates):
Mg (0.0000, 0.0000, 0.0000)
Mn (0.6783, 0.6783, 0.3217)
Ir (0.3324, 0.3324, 0.6676)

***

(5)
Density functional theory data (PBE) for crystalline LiDyHoS3 at its relaxed geometry.

Properties
Formation energy without anion corrections   -1.80 eV/atom

Cell lengths 7.9865, 3.7772, 8.3106 Å; angles 90.00, 102.22, 90.00 degrees
Atoms (fractional coordinates):
Li (0.0874, 0.2500, 0.0832)
Li (0.9126, 0.7500, 0.9168)
Dy (0.1848, 0.2500, 0.7189)
Dy (0.8152, 0.7500, 0.2811)
Ho (0.3386, 0.7500, 0.3319)
Ho (0.6614, 0.2500, 0.6681)
S (0.0935, 0.2500, 0.3686)
S (0.2173, 0.7500, 0.9914)
S (0.4205, 0.7500, 0.6707)
S (0.5795, 0.2500, 0.3293)
S (0.7827, 0.2500, 0.0086)
S (0.9065, 0.7500, 0.6314)

***

(6)
Density functional theory data (PBE) for crystalline InHgMoP2 at its relaxed geometry.

Properties
Energy   -4.6897 eV/atom

Cell lengths 4.7593, 4.7593, 5.7074 Å; angles 90.00, 90.00, 90.00 degrees
Atoms (fractional coordinates):
In (0.0000, 0.0000, 0.0000)
Hg (0.5000, 0.5000, 0.0000)
Mo (0.0000, 0.0000, 0.5000)
P (0.0000, 0.5000, 0.5000)
P (0.5000, 0.0000, 0.5000)

***

(7)
Density functional theory data (PBE) for crystalline Tb2Nd8Hg at its relaxed geometry.

Properties
Energy   -4.3251 eV/atom

Cell lengths 9.3799, 9.3799, 7.9659 Å; angles 110.84, 110.84, 35.00 degrees
Atoms (fractional coordinates):
Tb (0.1892, 0.1892, 0.1594)
Tb (0.8108, 0.8108, 0.8406)
Nd (0.0114, 0.0114, 0.2610)
Nd (0.1803, 0.1803, 0.7224)
Nd (0.3381, 0.3381, 0.5823)
Nd (0.3893, 0.3893, 0.0727)
Nd (0.6107, 0.6107, 0.9273)
Nd (0.6619, 0.6619, 0.4177)
Nd (0.8197, 0.8197, 0.2776)
Nd (0.9886, 0.9886, 0.7390)
Hg (0.5000, 0.5000, 0.5000)

***

(8)
Density functional theory data (PBE) for crystalline Ba2Sb4PdPt3 at its relaxed geometry.

Properties
Formation energy without anion corrections   -0.82 eV/atom

Cell lengths 4.8294, 4.8294, 10.6559 Å; angles 90.00, 90.00, 90.00 degrees
Atoms (fractional coordinates):
Ba (0.0000, 0.5000, 0.2445)
Ba (0.5000, 0.0000, 0.7555)
Sb (0.0000, 0.0000, 0.5000)
Sb (0.0000, 0.5000, 0.8755)
Sb (0.5000, 0.0000, 0.1245)
Sb (0.5000, 0.5000, 0.5000)
Pd (0.5000, 0.5000, 0.0000)
Pt (0.0000, 0.0000, 0.0000)
Pt (0.0000, 0.5000, 0.6195)
Pt (0.5000, 0.0000, 0.3805)

***

(9)
Density functional theory data (PBE) for crystalline Ga2Fe2Si at its relaxed geometry.

Properties
Formation energy without anion corrections   -0.13 eV/atom

Cell lengths 5.8758, 5.8758, 3.7780 Å; angles 90.00, 90.00, 90.00 degrees
Atoms (fractional coordinates):
Ga (0.1577, 0.3423, 0.0000)
Ga (0.3423, 0.8423, 0.0000)
Ga (0.6577, 0.1577, 0.0000)
Ga (0.8423, 0.6577, 0.0000)
Fe (0.1510, 0.6510, 0.5000)
Fe (0.3490, 0.1510, 0.5000)
Fe (0.6510, 0.8490, 0.5000)
Fe (0.8490, 0.3490, 0.5000)
Si (0.0000, 0.0000, 0.5000)
Si (0.5000, 0.5000, 0.5000)

***

(10)
Density functional theory data (PBE) for crystalline Pm3Be2Pt4 at its relaxed geometry.

Properties
Energy   -6.0333 eV/atom

Cell lengths 5.6510, 5.6510, 8.6638 Å; angles 108.98, 108.98, 43.33 degrees
Atoms (fractional coordinates):
Pm (0.0000, 0.0000, 0.0000)
Pm (0.3716, 0.3716, 0.3090)
Pm (0.6284, 0.6284, 0.6910)
Be (0.3315, 0.3315, 0.6724)
Be (0.6685, 0.6685, 0.3276)
Pt (0.1284, 0.1284, 0.4245)
Pt (0.2880, 0.2880, 0.9157)
Pt (0.7120, 0.7120, 0.0843)
Pt (0.8716, 0.8716, 0.5755)

***

(11)
Density functional theory data (PBE) for crystalline V2CrTcIr at its relaxed geometry.

Properties
Energy   -8.4893 eV/atom

Cell lengths 4.2104, 4.2104, 4.3392 Å; angles 90.00, 90.00, 90.00 degrees
Atoms (fractional coordinates):
V (0.0000, 0.5000, 0.0000)
V (0.5000, 0.0000, 0.0000)
Cr (0.0000, 0.0000, 0.0000)
Tc (0.0000, 0.0000, 0.5000)
Ir (0.5000, 0.5000, 0.5000)

***

(12)
Density functional theory data (PBE) for crystalline CuHPd3 at its relaxed geometry.

Properties
Relative energy among the computed polymorphs   135 meV per atom

Cell lengths 5.2117, 5.2117, 5.4345 Å; angles 90.00, 90.00, 117.77 degrees
Atoms (fractional coordinates):
Cu (0.0114, 0.9886, 0.7500)
Cu (0.9886, 0.0114, 0.2500)
H (0.3645, 0.6355, 0.2500)
H (0.6355, 0.3645, 0.7500)
Pd (0.0166, 0.4911, 0.7500)
Pd (0.4911, 0.0166, 0.2500)
Pd (0.5000, 0.5000, 0.0000)
Pd (0.5000, 0.5000, 0.5000)
Pd (0.5089, 0.9834, 0.7500)
Pd (0.9834, 0.5089, 0.2500)

***

(13)
Density functional theory data (PBE) for crystalline LiAc2Au4 at its relaxed geometry.

Properties
Energy   -3.9489 eV/atom

Cell lengths 6.7680, 6.7680, 4.3039 Å; angles 90.00, 90.00, 90.00 degrees
Atoms (fractional coordinates):
Li (0.0000, 0.0000, 0.0000)
Ac (0.0000, 0.5000, 0.5000)
Ac (0.5000, 0.0000, 0.5000)
Au (0.2845, 0.2845, 0.0000)
Au (0.2845, 0.7155, 0.0000)
Au (0.7155, 0.2845, 0.0000)
Au (0.7155, 0.7155, 0.0000)

***

(14)
Density functional theory data (PBE) for crystalline CdHgTe2 at its relaxed geometry.

Properties
Formation energy without anion corrections   0.00 eV/atom
Relative energy among the computed polymorphs   311 meV per atom

Cell lengths 11.8566, 11.8566, 5.8818 Å; angles 90.00, 90.00, 162.93 degrees
Atoms (fractional coordinates):
Cd (0.1813, 0.8187, 0.7500)
Cd (0.8187, 0.1813, 0.2500)
Hg (0.4398, 0.5602, 0.7500)
Hg (0.5602, 0.4398, 0.2500)
Te (0.3020, 0.6980, 0.7500)
Te (0.4251, 0.5749, 0.2500)
Te (0.5749, 0.4251, 0.7500)
Te (0.6980, 0.3020, 0.2500)

***

(15)
Density functional theory data (PBE) for crystalline Re2Pt4Rh3 at its relaxed geometry.

Properties
Energy   -8.0050 eV/atom

Cell lengths 4.7936, 7.3162, 8.2773 Å; angles 71.52, 84.76, 77.33 degrees
Atoms (fractional coordinates):
Re (0.0784, 0.0849, 0.3380)
Re (0.3032, 0.6401, 0.8833)
Re (0.6968, 0.3599, 0.1167)
Re (0.9216, 0.9151, 0.6620)
Pt (0.0258, 0.7030, 0.4413)
Pt (0.2462, 0.2547, 0.9997)
Pt (0.3616, 0.0200, 0.7827)
Pt (0.4155, 0.4241, 0.6660)
Pt (0.5845, 0.5759, 0.3340)
Pt (0.6384, 0.9800, 0.2173)
Pt (0.7538, 0.7453, 0.0003)
Pt (0.9742, 0.2970, 0.5587)
Rh (0.1421, 0.4675, 0.2144)
Rh (0.1943, 0.8585, 0.1133)
Rh (0.4733, 0.8094, 0.5629)
Rh (0.5267, 0.1906, 0.4371)
Rh (0.8057, 0.1415, 0.8867)
Rh (0.8579, 0.5325, 0.7856)

***

(16)
Density functional theory data (PBE) for crystalline KBaSc2 at its relaxed geometry.

Properties
Relative energy among the computed polymorphs   332 meV per atom

Cell lengths 6.9745, 6.9745, 6.9745 Å; angles 137.61, 137.61, 61.50 degrees
Atoms (fractional coordinates):
K (0.0000, 0.0000, 0.0000)
Ba (0.5000, 0.5000, 0.0000)
Sc (0.2500, 0.7500, 0.5000)
Sc (0.7500, 0.2500, 0.5000)

***

(17)
Density functional theory data (PBE) for crystalline Sm4Y5Cd at its relaxed geometry.

Properties
Relative energy among the computed polymorphs   0 meV per atom

Cell lengths 3.6112, 3.6112, 24.3597 Å; angles 90.00, 90.00, 90.00 degrees
Atoms (fractional coordinates):
Sm (0.0000, 0.0000, 0.1040)
Sm (0.0000, 0.0000, 0.3125)
Sm (0.0000, 0.0000, 0.6875)
Sm (0.0000, 0.0000, 0.8960)
Y (0.5000, 0.5000, 0.0000)
Y (0.5000, 0.5000, 0.2085)
Y (0.5000, 0.5000, 0.4165)
Y (0.5000, 0.5000, 0.5835)
Y (0.5000, 0.5000, 0.7915)
Cd (0.0000, 0.0000, 0.5000)

***

(18)
Density functional theory data (PBE) for crystalline LiH3Pd at its relaxed geometry.

Properties
Energy   -3.4735 eV/atom

Cell lengths 7.3064, 7.3064, 4.8949 Å; angles 90.00, 90.00, 157.50 degrees
Atoms (fractional coordinates):
Li (0.0599, 0.9401, 0.7500)
Li (0.9401, 0.0599, 0.2500)
H (0.0484, 0.6396, 0.2500)
H (0.3604, 0.9516, 0.2500)
H (0.5000, 0.5000, 0.0000)
H (0.5000, 0.5000, 0.5000)
H (0.6396, 0.0484, 0.7500)
H (0.9516, 0.3604, 0.7500)
Pd (0.4007, 0.5993, 0.7500)
Pd (0.5993, 0.4007, 0.2500)

***

(19)
Density functional theory data (PBE) for crystalline Zr2FeRe at its relaxed geometry.

Properties
Relative energy among the computed polymorphs   320 meV per atom

Cell lengths 3.4536, 4.2460, 4.7680 Å; angles 90.00, 90.00, 90.00 degrees
Atoms (fractional coordinates):
Zr (0.0000, 0.0000, 0.0000)
Zr (0.5000, 0.0000, 0.5000)
Fe (0.0000, 0.5000, 0.5000)
Re (0.5000, 0.5000, 0.0000)

***

(20)
Density functional theory data (PBE) for crystalline LiMnSi2 at its relaxed geometry.

Properties
Formation energy without anion corrections   -0.19 eV/atom
Relative energy among the computed polymorphs   3 meV per atom

Cell lengths 4.3626, 4.3626, 4.3626 Å; angles 130.32, 130.32, 72.89 degrees
Atoms (fractional coordinates):
Li (0.0000, 0.0000, 0.0000)
Mn (0.5000, 0.5000, 0.0000)
Si (0.2500, 0.7500, 0.5000)
Si (0.7500, 0.2500, 0.5000)

***

Q: Which total moment values were calculated for the entries above? A: 0.0, 0.0, 0.0, 3.8, 0.0, 0.0, 0.0, 0.0, 0.0, 0.0, 0.0, 0.0, 0.0, 0.0, 0.0, 1.9, 0.0, 0.0, 1.4, 1.6, in μB per cell.